Entry 1:
{
  "formula": "Dy5Tl2Sn",
  "functional": "PBE",
  "state": "optimized geometry",
  "vol_a3_per_atom": 28.69,
  "final_energy_ev_per_fu": -35.02,
  "mass_density_g_cm3": 9.693,
  "cell": [[-4.172, 4.172, 6.594], [4.172, -4.172, 6.594], [4.172, 4.172, -6.594]],
  "species": ["Dy", "Dy", "Dy", "Dy", "Dy", "Dy", "Dy", "Dy", "Dy", "Dy", "Tl", "Tl", "Tl", "Tl", "Sn", "Sn"],
  "fractional_positions": [[0.000, 0.000, 0.000], [0.003, 0.503, 0.810], [0.193, 0.003, 0.500], [0.307, 0.807, 0.810], [0.497, 0.307, 0.500], [0.500, 0.500, 0.000], [0.503, 0.693, 0.500], [0.693, 0.193, 0.190], [0.807, 0.997, 0.500], [0.997, 0.497, 0.190], [0.144, 0.356, 0.500], [0.356, 0.856, 0.213], [0.644, 0.144, 0.787], [0.856, 0.644, 0.500], [0.250, 0.250, 0.000], [0.750, 0.750, 0.000]]
}


Entry 2:
{
  "formula": "DyTmTlSn",
  "functional": "PBE",
  "state": "optimized geometry",
  "vol_a3_per_atom": 26.75,
  "final_energy_ev_per_fu": -17.13,
  "mass_density_g_cm3": 10.158,
  "cell": [[7.536, 0.000, 0.000], [0.000, 7.536, 0.000], [0.000, 0.000, 7.536]],
  "species": ["Dy", "Dy", "Dy", "Dy", "Tm", "Tm", "Tm", "Tm", "Tl", "Tl", "Tl", "Tl", "Sn", "Sn", "Sn", "Sn"],
  "fractional_positions": [[0.000, 0.000, 0.000], [0.000, 0.500, 0.500], [0.500, 0.000, 0.500], [0.500, 0.500, 0.000], [0.000, 0.000, 0.500], [0.000, 0.500, 0.000], [0.500, 0.000, 0.000], [0.500, 0.500, 0.500], [0.250, 0.250, 0.750], [0.250, 0.750, 0.250], [0.750, 0.250, 0.250], [0.750, 0.750, 0.750], [0.250, 0.250, 0.250], [0.250, 0.750, 0.750], [0.750, 0.250, 0.750], [0.750, 0.750, 0.250]]
}